Arrangement w

# Tb12HoEr6

Crystalline Tb12HoEr6 at its relaxed geometry (GGA-PBE, the Alexandria database).

Lattice parameters (Å, degrees): 8.481 8.481 8.481 88.50 88.50 88.50
Fractional positions:
1 Tb 0.777 0.541 0.434
2 Tb 0.566 0.223 0.459
3 Tb 0.013 0.202 0.359
4 Er 0.905 0.305 0.742
5 Er 0.695 0.258 0.095
6 Tb 0.459 0.566 0.223
7 Er 0.305 0.742 0.905
8 Tb 0.223 0.459 0.566
9 Er 0.742 0.905 0.305
10 Ho 0.000 0.000 0.000
11 Tb 0.359 0.013 0.202
12 Tb 0.641 0.987 0.798
13 Er 0.258 0.095 0.695
14 Tb 0.434 0.777 0.541
15 Er 0.095 0.695 0.258
16 Tb 0.798 0.641 0.987
17 Tb 0.987 0.798 0.641
18 Tb 0.541 0.434 0.777
19 Tb 0.202 0.359 0.013

## Properties
calculated volume: 609.4 Å³/f.u.
DOS at the Fermi energy: 33.50 states/eV/f.u.

***

Arrangement x

# Tb12HoEr6

Crystalline Tb12HoEr6 at its relaxed geometry (GGA-PBE, the Alexandria database).

Lattice parameters (Å, degrees): 9.056 9.056 9.056 106.55 106.55 106.55
Fractional positions:
1 Er 0.188 0.455 0.076
2 Tb 0.863 0.173 0.721
3 Er 0.545 0.924 0.812
4 Tb 0.420 0.517 0.809
5 Ho 0.000 0.000 0.000
6 Er 0.076 0.188 0.455
7 Er 0.455 0.076 0.188
8 Tb 0.191 0.580 0.483
9 Tb 0.809 0.420 0.517
10 Tb 0.279 0.137 0.827
11 Tb 0.137 0.827 0.279
12 Tb 0.580 0.483 0.191
13 Tb 0.827 0.279 0.137
14 Tb 0.483 0.191 0.580
15 Tb 0.721 0.863 0.173
16 Tb 0.517 0.809 0.420
17 Er 0.812 0.545 0.924
18 Er 0.924 0.812 0.545
19 Tb 0.173 0.721 0.863

## Properties
calculated volume: 626.0 Å³/f.u.
DOS at the Fermi energy: 29.15 states/eV/f.u.

***

In order of decreasing stability: arrangement w, arrangement x.

***

Arrangement w

# TbHo5Er

Crystalline TbHo5Er at its relaxed geometry (GGA-PBE, the Alexandria database).

Lattice parameters (Å, degrees): 6.685 6.685 13.515 61.91 61.91 59.84
Fractional positions:
1 Ho 0.838 0.610 0.245
2 Er 0.000 0.000 0.500
3 Ho 0.657 0.687 0.499
4 Tb 0.721 0.279 0.750
5 Ho 0.313 0.343 0.001
6 Ho 0.390 0.162 0.255
7 Ho 0.162 0.390 0.755
8 Tb 0.279 0.721 0.250
9 Ho 0.835 0.165 0.250
10 Er 0.000 0.000 0.000
11 Ho 0.343 0.313 0.501
12 Ho 0.610 0.838 0.745
13 Ho 0.687 0.657 0.999
14 Ho 0.165 0.835 0.750

## Properties
calculated volume: 219.2 Å³/f.u.
DOS at the Fermi energy: 7.99 states/eV/f.u.

***

Arrangement x

# TbHo5Er

Crystalline TbHo5Er at its relaxed geometry (GGA-PBE, the Alexandria database).

Lattice parameters (Å, degrees): 5.740 7.861 7.861 66.07 68.58 68.58
Fractional positions:
1 Ho 0.745 0.255 0.255
2 Ho 0.500 0.178 0.822
3 Er 0.500 0.500 0.500
4 Ho 0.255 0.745 0.745
5 Tb 0.000 0.000 0.000
6 Ho 0.500 0.822 0.178
7 Ho 0.000 0.500 0.500

## Properties
calculated volume: 291.8 Å³/f.u.
DOS at the Fermi energy: 7.49 states/eV/f.u.

***

In order of decreasing stability: arrangement w, arrangement x.

***

Arrangement w

# Tb4Ho3Er4

Crystalline Tb4Ho3Er4 at its relaxed geometry (GGA-PBE, the Alexandria database).

Lattice parameters (Å, degrees): 3.482 5.546 17.933 81.09 84.41 90.00
Fractional positions:
1 Ho 0.863 0.363 0.274
2 Er 0.409 0.909 0.181
3 Er 0.591 0.091 0.819
4 Tb 0.546 0.547 0.908
5 Tb 0.681 0.181 0.639
6 Er 0.267 0.267 0.467
7 Tb 0.454 0.454 0.092
8 Tb 0.319 0.819 0.361
9 Er 0.733 0.733 0.533
10 Ho 0.000 0.000 0.000
11 Ho 0.137 0.637 0.726

## Properties
calculated volume: 340.5 Å³/f.u.
DOS at the Fermi energy: 19.25 states/eV/f.u.

***

Arrangement x

# Tb4Ho3Er4

Crystalline Tb4Ho3Er4 at its relaxed geometry (GGA-PBE, the Alexandria database).

Lattice parameters (Å, degrees): 3.514 11.104 10.738 121.14 99.41 90.00
Fractional positions:
1 Tb 0.500 0.207 0.000
2 Er 0.329 0.572 0.659
3 Tb 0.219 0.719 0.438
4 Er 0.671 0.428 0.341
5 Tb 0.781 0.281 0.562
6 Ho 0.000 0.500 0.000
7 Tb 0.500 0.793 0.000
8 Ho 0.109 0.109 0.218
9 Ho 0.891 0.891 0.782
10 Er 0.671 0.913 0.341
11 Er 0.329 0.087 0.659

## Properties
calculated volume: 352.0 Å³/f.u.
DOS at the Fermi energy: 14.92 states/eV/f.u.

***

In order of decreasing stability: arrangement w, arrangement x.

***

Arrangement w

# Tb3Ho2Er7

Crystalline Tb3Ho2Er7 at its relaxed geometry (GGA-PBE, the Alexandria database).

Lattice parameters (Å, degrees): 6.090 6.090 11.100 79.39 79.39 109.32
Fractional positions:
1 Er 0.917 0.417 0.166
2 Er 0.250 0.750 0.500
3 Tb 0.500 0.500 0.000
4 Er 0.083 0.583 0.834
5 Tb 0.833 0.833 0.333
6 Tb 0.167 0.167 0.667
7 Ho 0.667 0.667 0.667
8 Er 0.417 0.917 0.166
9 Er 0.000 0.000 0.000
10 Er 0.750 0.250 0.500
11 Ho 0.333 0.333 0.333
12 Er 0.583 0.083 0.834

## Properties
calculated volume: 368.2 Å³/f.u.
DOS at the Fermi energy: 17.04 states/eV/f.u.

***

Arrangement x

# Tb3Ho2Er7

Crystalline Tb3Ho2Er7 at its relaxed geometry (GGA-PBE, the Alexandria database).

Lattice parameters (Å, degrees): 3.551 5.623 18.909 98.55 90.00 90.00
Fractional positions:
1 Er 0.500 0.072 0.143
2 Tb 0.500 0.685 0.370
3 Tb 0.500 0.500 0.000
4 Er 0.000 0.000 0.000
5 Er 0.000 0.231 0.461
6 Tb 0.500 0.315 0.630
7 Er 0.000 0.408 0.817
8 Er 0.000 0.769 0.539
9 Er 0.500 0.928 0.857
10 Er 0.000 0.592 0.183
11 Ho 0.000 0.147 0.294
12 Ho 0.000 0.853 0.706

## Properties
calculated volume: 373.3 Å³/f.u.
DOS at the Fermi energy: 17.99 states/eV/f.u.

***

In order of decreasing stability: arrangement w, arrangement x.

***

Arrangement w

# Tb4Ho5Er3

Crystalline Tb4Ho5Er3 at its relaxed geometry (GGA-PBE, the Alexandria database).

Lattice parameters (Å, degrees): 5.830 8.475 9.545 105.89 72.22 69.88
Each line ends with the local moment (μB).
Fractional positions:
1 Er 0.000 0.500 0.500  0.21
2 Ho 0.213 0.460 0.114  0.02
3 Tb 0.140 0.779 0.941  0.01
4 Ho 0.787 0.540 0.886  0.02
5 Er 0.523 0.687 0.267  0.01
6 Tb 0.165 0.049 0.621  0.00
7 Tb 0.835 0.951 0.379  0.00
8 Er 0.477 0.313 0.733  0.01
9 Ho 0.500 0.500 0.500  0.20
10 Ho 0.628 0.945 0.798  0.01
11 Ho 0.372 0.055 0.202  0.01
12 Tb 0.860 0.221 0.059  0.01

## Properties
calculated volume: 382.0 Å³/f.u.
DOS at the Fermi energy: 19.57 states/eV/f.u.

***

Arrangement x

# Tb4Ho5Er3

Crystalline Tb4Ho5Er3 at its relaxed geometry (GGA-PBE, the Alexandria database).

Lattice parameters (Å, degrees): 7.050 11.138 12.697 151.28 56.33 129.29
Fractional positions:
1 Tb 0.833 0.666 0.833
2 Ho 0.333 0.666 0.833
3 Tb 0.167 0.334 0.167
4 Ho 0.667 0.334 0.167
5 Tb 0.916 0.834 0.666
6 Ho 0.500 0.000 0.500
7 Tb 0.084 0.166 0.334
8 Ho 0.751 0.500 0.999
9 Er 0.000 0.000 0.500
10 Ho 0.249 0.500 0.001
11 Er 0.418 0.834 0.667
12 Er 0.582 0.166 0.333

## Properties
calculated volume: 370.7 Å³/f.u.
DOS at the Fermi energy: 15.16 states/eV/f.u.

***

In order of decreasing stability: arrangement x, arrangement w.

***

Arrangement w

# Tb4Ho8Er

Crystalline Tb4Ho8Er at its relaxed geometry (GGA-PBE, the Alexandria database).

Lattice parameters (Å, degrees): 7.235 7.235 9.977 90.00 111.26 120.00
Fractional positions:
1 Ho 0.431 0.215 0.646
2 Tb 0.000 0.500 0.000
3 Ho 0.053 0.250 0.302
4 Tb 0.500 0.500 0.000
5 Tb 0.000 0.000 0.000
6 Er 0.000 0.500 0.500
7 Ho 0.053 0.803 0.302
8 Tb 0.500 0.000 0.000
9 Ho 0.569 0.785 0.354
10 Ho 0.947 0.197 0.698
11 Ho 0.499 0.250 0.302
12 Ho 0.947 0.750 0.698
13 Ho 0.501 0.750 0.698

## Properties
calculated volume: 410.7 Å³/f.u.
DOS at the Fermi energy: 15.42 states/eV/f.u.

***

Arrangement x

# Tb4Ho8Er

Crystalline Tb4Ho8Er at its relaxed geometry (GGA-PBE, the Alexandria database).

Lattice parameters (Å, degrees): 9.906 9.906 9.906 42.93 42.93 42.93
Fractional positions:
1 Tb 0.500 0.000 0.500
2 Ho 0.751 0.751 0.194
3 Tb 0.500 0.500 0.500
4 Ho 0.249 0.806 0.249
5 Tb 0.500 0.500 0.000
6 Ho 0.194 0.751 0.751
7 Ho 0.217 0.217 0.217
8 Er 0.000 0.000 0.000
9 Ho 0.249 0.249 0.806
10 Ho 0.783 0.783 0.783
11 Ho 0.806 0.249 0.249
12 Tb 0.000 0.500 0.500
13 Ho 0.751 0.194 0.751

## Properties
calculated volume: 408.7 Å³/f.u.
DOS at the Fermi energy: 15.98 states/eV/f.u.

***

In order of decreasing stability: arrangement x, arrangement w.